(1)
Crystalline KCr2PbBr at its relaxed geometry, computed with PBE.

E_form (uncorrected) in eV per atom: 0.811
Mass density in Mg/m³: 4.27
Spin magnetization in μB per atom: 1.81
D(E_F) in states/eV per atom: 0.55

a = 5.2226 Å, b = 5.2226 Å, c = 6.1390 Å
α = 90.00°, β = 90.00°, γ = 90.00°
With the nearest neighbours (Å) after each atom.
Positions (direct):
K1 0.0000 0.0000 0.0000  4 Pb 3.69, 8 Cr 4.03
Cr1 0.0000 0.5000 0.5000  2 Br 2.61
Cr2 0.5000 0.0000 0.5000  2 Br 2.61
Pb1 0.5000 0.5000 0.0000  2 Br 3.07
Br1 0.5000 0.5000 0.5000  4 Cr 2.61


(2)
Crystalline K2CrPbBr at its relaxed geometry, computed with PBE.

E_form (uncorrected) in eV per atom: 0.219
Mass density in Mg/m³: 3.17
Spin magnetization in μB per atom: 0.98
D(E_F) in states/eV per atom: 0.71

a = 5.9727 Å, b = 5.9727 Å, c = 6.1185 Å
α = 90.00°, β = 90.00°, γ = 90.00°
With the nearest neighbours (Å) after each atom.
Positions (direct):
K1 0.0000 0.5000 0.0000  2 Br 2.99
K2 0.5000 0.0000 0.0000  2 Br 2.99
Cr1 0.0000 0.0000 0.5000  4 Pb 4.22, 8 K 4.28
Pb1 0.5000 0.5000 0.5000  2 Br 3.06
Br1 0.5000 0.5000 0.0000  4 K 2.99, 2 Pb 3.06


(3)
Crystalline KCr2PtBr at its relaxed geometry, computed with PBE.

E_form (uncorrected) in eV per atom: 0.379
Mass density in Mg/m³: 4.40
Spin magnetization in μB per atom: 1.79
D(E_F) in states/eV per atom: 0.92

a = 4.9219 Å, b = 4.9219 Å, c = 6.5174 Å
α = 90.00°, β = 90.00°, γ = 90.00°
With the nearest neighbours (Å) after each atom.
Positions (direct):
K1 0.0000 0.0000 0.0000  2 Pt 3.26, 4 Br 3.48
Cr1 0.0000 0.5000 0.5000  2 Pt 2.46
Cr2 0.5000 0.0000 0.5000  2 Pt 2.46
Pt1 0.0000 0.0000 0.5000  4 Cr 2.46
Br1 0.5000 0.5000 0.0000  4 K 3.48


(4)
Crystalline K2RbCrBr6 at its relaxed geometry, computed with PBE.

E_form (uncorrected) in eV per atom: -1.344
Mass density in Mg/m³: 3.25
Spin magnetization in μB per atom: 0.30

a = 7.7645 Å, b = 8.1661 Å, c = 13.4774 Å
α = 90.00°, β = 123.83°, γ = 90.00°
With the nearest neighbours (Å) after each atom.
Positions (direct):
K1 0.2165 0.0809 0.2450  6 Br 3.33-3.55
K2 0.2165 0.4191 0.7450  6 Br 3.33-3.55
K3 0.7835 0.5809 0.2550  6 Br 3.33-3.55
K4 0.7835 0.9191 0.7550  6 Br 3.33-3.55
Rb1 0.5000 0.0000 0.0000  6 Br 3.38-3.44
Rb2 0.5000 0.5000 0.5000  6 Br 3.38-3.44
Cr1 0.0000 0.0000 0.5000  6 Br 2.53-2.55
Cr2 0.0000 0.5000 0.0000  6 Br 2.53-2.55
Br1 0.0806 0.2364 0.9315  1 Cr 2.55
Br2 0.0806 0.2636 0.4315  1 Cr 2.55
Br3 0.2035 0.6636 0.9386  1 Cr 2.53
Br4 0.2035 0.8364 0.4386  1 Cr 2.53
Br5 0.3294 0.0397 0.7070  1 Cr 2.55
Br6 0.3294 0.4603 0.2070  1 Cr 2.55
Br7 0.6706 0.5397 0.7930  1 Cr 2.55
Br8 0.6706 0.9603 0.2930  1 Cr 2.55
Br9 0.7965 0.1636 0.5614  1 Cr 2.53
Br10 0.7965 0.3364 0.0614  1 Cr 2.53
Br11 0.9194 0.7364 0.5685  1 Cr 2.55
Br12 0.9194 0.7636 0.0685  1 Cr 2.55


(5)
Crystalline K3Rb3CrBr8 at its relaxed geometry, computed with PBE.

E_form (uncorrected) in eV per atom: -1.501
Mass density in Mg/m³: 2.91
Spin magnetization in μB per atom: 0.27
D(E_F) in states/eV per atom: 0.45

a = 9.5949 Å, b = 9.5949 Å, c = 9.5949 Å
α = 58.84°, β = 58.84°, γ = 58.84°
With the nearest neighbours (Å) after each atom.
Positions (direct):
K1 0.0000 0.5000 0.5000  6 Br 3.30-3.37
K2 0.5000 0.0000 0.5000  6 Br 3.30-3.37
K3 0.5000 0.5000 0.0000  6 Br 3.30-3.37
Rb1 0.0000 0.0000 0.5000  6 Br 3.42-3.47
Rb2 0.0000 0.5000 0.0000  6 Br 3.42-3.47
Rb3 0.5000 0.0000 0.0000  6 Br 3.42-3.47
Cr1 0.0000 0.0000 0.0000  6 Br 2.74
Br1 0.2040 0.2040 0.7899  1 Cr 2.74
Br2 0.2040 0.7899 0.2040  1 Cr 2.74
Br3 0.2101 0.7960 0.7960  1 Cr 2.74
Br4 0.2544 0.2544 0.2544  3 K 3.30, 3 Rb 3.42
Br5 0.7456 0.7456 0.7456  3 K 3.30, 3 Rb 3.42
Br6 0.7899 0.2040 0.2040  1 Cr 2.74
Br7 0.7960 0.2101 0.7960  1 Cr 2.74
Br8 0.7960 0.7960 0.2101  1 Cr 2.74


(6)
Crystalline KSc2CrBr at its relaxed geometry, computed with PBE.

E_form (uncorrected) in eV per atom: 0.525
Mass density in Mg/m³: 2.82
Spin magnetization in μB per atom: 0.66
D(E_F) in states/eV per atom: 1.34

a = 5.1309 Å, b = 5.1309 Å, c = 5.8369 Å
α = 90.00°, β = 90.00°, γ = 90.00°
With the nearest neighbours (Å) after each atom.
Positions (direct):
K1 0.0000 0.0000 0.0000  2 Br 2.92
Sc1 0.0000 0.5000 0.5000  2 Br 2.57
Sc2 0.5000 0.0000 0.5000  2 Br 2.57
Cr1 0.5000 0.5000 0.0000  4 K 3.63, 8 Sc 3.89
Br1 0.0000 0.0000 0.5000  4 Sc 2.57


(7)
Crystalline KCrSeBr2 at its relaxed geometry, computed with PBE.

E_form (uncorrected) in eV per atom: -0.836
Mass density in Mg/m³: 3.90
Spin magnetization in μB per atom: 0.60
D(E_F) in states/eV per atom: 0.43
Relative energy among the computed polymorphs in kJ per mole of atoms: 0.0

a = 5.4046 Å, b = 5.4046 Å, c = 4.8052 Å
α = 90.00°, β = 90.00°, γ = 90.00°
With the nearest neighbours (Å) after each atom.
Positions (direct):
K1 0.0000 0.0000 0.0000  8 Br 3.62, 4 Se 3.82
Cr1 0.5000 0.5000 0.5000  2 Se 2.40
Se1 0.5000 0.5000 0.0000  2 Cr 2.40
Br1 0.0000 0.5000 0.5000  2 Cr 2.70
Br2 0.5000 0.0000 0.5000  2 Cr 2.70


(8)
Crystalline KCrSeBr2 at its relaxed geometry, computed with PBE.

E_form (uncorrected) in eV per atom: 0.462
Mass density in Mg/m³: 2.71
Spin magnetization in μB per atom: 1.09
D(E_F) in states/eV per atom: 2.92
Relative energy among the computed polymorphs in kJ per mole of atoms: 125.3

a = 5.8698 Å, b = 5.8698 Å, c = 5.8629 Å
α = 90.00°, β = 90.00°, γ = 90.00°
With the nearest neighbours (Å) after each atom.
Positions (direct):
K1 0.0000 0.0000 0.0000  2 Se 2.93, 4 Br 2.93
Cr1 0.5000 0.5000 0.5000  8 Br 4.15, 4 Se 4.15
Se1 0.0000 0.0000 0.5000  2 K 2.93
Br1 0.0000 0.5000 0.0000  2 K 2.93
Br2 0.5000 0.0000 0.0000  2 K 2.93